(1)
The following is a DFT calculation (PBE) of a relaxed structure of Sm3Zn2Cu3.

Unit cell a=7.8018 b=15.3019 c=5.5905 alpha=90.00 beta=90.00 gamma=90.00
Closest atoms and distances in Å follow each position.
Space group Pnma (No. 62)
Unique sites:
1 Sm 0.0440 0.1042 0.1441 [8 per cell]  5 Cu 2.93-3.14, 3 Zn 3.02-3.11
2 Sm 0.1785 0.2500 0.6183 [4 per cell]  5 Cu 2.96-3.28, 4 Zn 3.09-3.20
3 Zn 0.1128 0.6033 0.3627 [8 per cell]  4 Cu 2.44-2.68
4 Cu 0.1764 0.7500 0.6071 [4 per cell]  2 Zn 2.68, 1 Sm 2.96
5 Cu 0.1783 0.0358 0.5967 [8 per cell]  3 Zn 2.44-2.55

Summary:
D(E_F)   24.04 states/eV per cell



(2)
The following is a DFT calculation (PBE) of a relaxed structure of Sm3Zn2Cu3.

Unit cell a=4.4259 b=10.4397 c=14.3030 alpha=90.00 beta=90.00 gamma=90.00
Closest atoms and distances in Å follow each position.
Space group Cmcm (No. 63)
Unique sites:
1 Sm 0.0000 0.0952 0.1037 [8 per cell]  7 Cu 3.02-3.22, 4 Zn 3.06-3.11
2 Sm 0.0000 0.3828 0.2500 [4 per cell]  5 Cu 3.00-3.12, 4 Zn 3.24
3 Zn 0.0000 0.2028 0.5964 [8 per cell]  4 Cu 2.55-2.77
4 Cu 0.0000 0.3279 0.7500 [4 per cell]  2 Zn 2.56
5 Cu 0.0000 0.3910 0.0401 [8 per cell]  1 Cu 2.55, 3 Zn 2.55-2.77

Summary:
D(E_F)   23.95 states/eV per cell



Energies relative to the most stable structure are (1) 2.5; (2) 0.0, reported in kJ/mol of atoms.



(1)
The following is a DFT calculation (PBE) of a relaxed structure of Sm4Zn3Cu.

Unit cell a=3.6244 b=3.6244 c=14.4515 alpha=90.00 beta=90.00 gamma=90.00
Closest atoms and distances in Å follow each position.
Space group P4/mmm (No. 123)
Unique sites:
1 Sm 0.0000 0.0000 0.1212 [2 per cell]  4 Cu 3.10, 4 Zn 3.16
2 Sm 0.0000 0.0000 0.3734 [2 per cell]  8 Zn 3.13-3.15
3 Zn 0.5000 0.5000 0.2485 [2 per cell]  8 Sm 3.13-3.16
4 Zn 0.5000 0.5000 0.5000 [1 per cell]  8 Sm 3.15
5 Cu 0.5000 0.5000 0.0000 [1 per cell]  8 Sm 3.10

Summary:
D(E_F)   8.94 states/eV per cell



(2)
The following is a DFT calculation (PBE) of a relaxed structure of Sm4Zn3Cu.

Unit cell a=3.6464 b=4.5110 c=11.7208 alpha=90.00 beta=90.00 gamma=90.00
Closest atoms and distances in Å follow each position.
Space group Pmm2 (No. 25)
Unique sites:
1 Sm 0.0000 0.0000 0.0000 [1 per cell]  5 Zn 3.06-3.39, 2 Cu 3.08
2 Sm 0.0000 0.5000 0.2937 [1 per cell]  4 Cu 3.06, 3 Zn 3.08-3.35
3 Sm 0.5000 0.0000 0.4909 [1 per cell]  6 Zn 3.08-3.16, 1 Cu 3.27
4 Sm 0.5000 0.5000 0.8001 [1 per cell]  7 Zn 3.08-3.31
5 Zn 0.0000 0.0000 0.7110 [1 per cell]  2 Zn 2.73
6 Zn 0.0000 0.5000 0.5793 [1 per cell]  2 Zn 2.73
7 Zn 0.5000 0.5000 0.0822 [1 per cell]  2 Cu 2.72
8 Cu 0.5000 0.0000 0.2115 [1 per cell]  2 Zn 2.72

Summary:
D(E_F)   8.87 states/eV per cell



Energies relative to the most stable structure are (1) 0.0; (2) 3.5, reported in kJ/mol of atoms.



(1)
The following is a DFT calculation (PBE) of a relaxed structure of SmZrCu2.

Unit cell a=3.3912 b=3.3912 c=6.9055 alpha=90.00 beta=90.00 gamma=90.00
Closest atoms and distances in Å follow each position.
Space group P4/mmm (No. 123)
Unique sites:
1 Sm 0.0000 0.0000 0.0000 [1 per cell]  8 Cu 3.13, 4 Sm 3.39, 2 Zr 3.45
2 Zr 0.0000 0.0000 0.5000 [1 per cell]  8 Cu 2.80
3 Cu 0.5000 0.5000 0.2908 [2 per cell]  4 Zr 2.80, 1 Cu 2.89, 4 Sm 3.13

Summary:
D(E_F)   4.10 states/eV per cell



(2)
The following is a DFT calculation (PBE) of a relaxed structure of SmZrCu2.

Unit cell a=6.8212 b=6.8212 c=6.8212 alpha=90.00 beta=90.00 gamma=90.00
Closest atoms and distances in Å follow each position.
Space group Fm-3m (No. 225)
Unique sites:
1 Sm 0.0000 0.0000 0.0000 [4 per cell]  8 Cu 2.95
2 Zr 0.0000 0.0000 0.5000 [4 per cell]  8 Cu 2.95
3 Cu 0.2500 0.2500 0.2500 [8 per cell]  4 Zr 2.95, 4 Sm 2.95

Summary:
D(E_F)   17.33 states/eV per cell



Energies relative to the most stable structure are (1) 0.0; (2) 6.4, reported in kJ/mol of atoms.



(1)
The following is a DFT calculation (PBE) of a relaxed structure of Sm2ZrCu.

Unit cell a=3.4580 b=3.4580 c=8.4130 alpha=90.00 beta=90.00 gamma=90.00
Closest atoms and distances in Å follow each position.
Space group P4/mmm (No. 123)
Unique sites:
1 Sm 0.0000 0.0000 0.2197 [2 per cell]  4 Cu 3.07, 4 Zr 3.40
2 Zr 0.5000 0.5000 0.5000 [1 per cell]  8 Sm 3.40, 4 Zr 3.46
3 Cu 0.5000 0.5000 0.0000 [1 per cell]  8 Sm 3.07

Summary:
D(E_F)   3.87 states/eV per cell



(2)
The following is a DFT calculation (PBE) of a relaxed structure of Sm2ZrCu.

Unit cell a=3.2775 b=3.2775 c=33.1763 alpha=90.00 beta=90.00 gamma=120.00
Closest atoms and distances in Å follow each position.
Space group R-3m (No. 166, hexagonal axes)
Unique sites:
1 Sm 0.0000 0.0000 0.0974 [6 per cell]  3 Cu 2.98, 1 Zr 3.23, 6 Sm 3.28
2 Zr 0.0000 0.0000 0.0000 [3 per cell]  2 Sm 3.23, 6 Zr 3.28
3 Cu 0.0000 0.0000 0.5000 [3 per cell]  6 Sm 2.98, 6 Cu 3.28

Summary:
D(E_F)   10.56 states/eV per cell



Energies relative to the most stable structure are (1) 0.0; (2) 37.7, reported in kJ/mol of atoms.



(1)
The following is a DFT calculation (PBE) of a relaxed structure of CuSn3.

Unit cell a=6.2331 b=6.2331 c=5.9036 alpha=90.00 beta=90.00 gamma=120.00
Closest atoms and distances in Å follow each position.
Space group P6_322 (No. 182)
Unique sites:
1 Cu 0.3333 0.6667 0.2500 [2 per cell]  6 Sn 2.64
2 Sn 0.0000 0.2998 0.0000 [6 per cell]  2 Cu 2.64

Summary:
D(E_F)   3.44 states/eV per cell



(2)
The following is a DFT calculation (PBE) of a relaxed structure of CuSn3.

Unit cell a=6.5001 b=6.5001 c=5.2059 alpha=90.00 beta=90.00 gamma=120.00
Closest atoms and distances in Å follow each position.
Space group P6_3/mmc (No. 194)
Unique sites:
1 Cu 0.3333 0.6667 0.2500 [2 per cell]  12 Sn 3.17-3.25
2 Sn 0.1733 0.3466 0.7500 [6 per cell]  8 Sn 3.12-3.38, 4 Cu 3.17-3.25

Summary:
D(E_F)   4.01 states/eV per cell



Energies relative to the most stable structure are (1) 0.0; (2) 12.3, reported in kJ/mol of atoms.



(1)
The following is a DFT calculation (PBE) of a relaxed structure of CuSn3.

Unit cell a=3.2216 b=3.5497 c=8.5058 alpha=90.00 beta=90.00 gamma=90.00
Closest atoms and distances in Å follow each position.
Space group Pmm2 (No. 25)
Unique sites:
1 Cu 0.0000 0.0000 0.0000 [1 per cell]  6 Sn 2.72-2.78
2 Sn 0.0000 0.5000 0.2424 [1 per cell]  2 Cu 2.72
3 Sn 0.5000 0.0000 0.5188 [1 per cell]  10 Sn 3.22-3.55
4 Sn 0.5000 0.5000 0.8352 [1 per cell]  4 Cu 2.78

Summary:
D(E_F)   1.37 states/eV per cell



(2)
The following is a DFT calculation (PBE) of a relaxed structure of CuSn3.

Unit cell a=4.6003 b=4.6003 c=9.0243 alpha=90.00 beta=90.00 gamma=90.00
Closest atoms and distances in Å follow each position.
Space group I4/mmm (No. 139)
Unique sites:
1 Cu 0.0000 0.0000 0.0000 [2 per cell]  12 Sn 3.22-3.25
2 Sn 0.0000 0.0000 0.5000 [2 per cell]  8 Sn 3.22, 4 Cu 3.25
3 Sn 0.0000 0.5000 0.2500 [4 per cell]  8 Sn 3.22-3.25, 4 Cu 3.22

Summary:
D(E_F)   3.31 states/eV per cell



(3)
The following is a DFT calculation (PBE) of a relaxed structure of CuSn3.

Unit cell a=3.3890 b=4.4383 c=12.8245 alpha=90.00 beta=90.00 gamma=90.00
Closest atoms and distances in Å follow each position.
Space group Immm (No. 71)
Unique sites:
1 Cu 0.0000 0.0000 0.0000 [2 per cell]  8 Sn 2.79-2.89
2 Sn 0.0000 0.0000 0.5000 [2 per cell]  4 Cu 2.79
3 Sn 0.0000 0.5000 0.3176 [4 per cell]  2 Cu 2.89, 2 Sn 3.22

Summary:
D(E_F)   2.97 states/eV per cell



Energies relative to the most stable structure are (1) 2.4; (2) 12.3; (3) 0.0, reported in kJ/mol of atoms.



(1)
The following is a DFT calculation (PBE) of a relaxed structure of SrCu3Sn3.

Unit cell a=7.2058 b=7.2058 c=7.2058 alpha=90.00 beta=90.00 gamma=90.00
Closest atoms and distances in Å follow each position.
Space group Pm-3n (No. 223)
Unique sites:
1 Sr 0.0000 0.0000 0.0000 [2 per cell]  12 Sn 4.03, 12 Cu 4.03
2 Cu 0.0000 0.2500 0.5000 [6 per cell]  4 Sn 2.55
3 Sn 0.0000 0.5000 0.2500 [6 per cell]  4 Cu 2.55

Summary:
D(E_F)   9.97 states/eV per cell



(2)
The following is a DFT calculation (PBE) of a relaxed structure of SrCu3Sn3.

Unit cell a=9.1313 b=9.1313 c=4.3865 alpha=90.00 beta=90.00 gamma=120.00
Closest atoms and distances in Å follow each position.
Space group P6_3/m (No. 176)
Unique sites:
1 Sr 0.3333 0.6667 0.2500 [2 per cell]  9 Cu 3.09-3.19
2 Cu 0.0499 0.4598 0.7500 [6 per cell]  2 Cu 2.62, 4 Sn 2.72-2.81
3 Sn 0.0599 0.7625 0.7500 [6 per cell]  4 Cu 2.72-2.81

Summary:
D(E_F)   7.39 states/eV per cell



Energies relative to the most stable structure are (1) 13.7; (2) 0.0, reported in kJ/mol of atoms.



(1)
The following is a DFT calculation (PBE) of a relaxed structure of Sr2Cu3Sn5.

Unit cell a=11.3135 b=13.1308 c=6.5716 alpha=90.00 beta=90.00 gamma=90.00
Closest atoms and distances in Å follow each position.
Space group Ibam (No. 72)
Unique sites:
1 Sr 0.2482 0.1324 0.0000 [8 per cell]  10 Sn 3.33-3.69, 6 Cu 3.46-3.72
2 Cu 0.0000 0.5000 0.2500 [4 per cell]  4 Sn 2.69
3 Cu 0.1273 0.1269 0.5000 [8 per cell]  5 Sn 2.59-2.75
4 Sn 0.0000 0.0000 0.2500 [4 per cell]  4 Cu 2.75
5 Sn 0.0000 0.2491 0.2500 [8 per cell]  2 Cu 2.71, 2 Sn 3.02
6 Sn 0.1450 0.3959 0.0000 [8 per cell]  3 Cu 2.59-2.69

Summary:
D(E_F)   13.50 states/eV per cell



(2)
The following is a DFT calculation (PBE) of a relaxed structure of Sr2Cu3Sn5.

Unit cell a=4.4750 b=28.8145 c=7.5575 alpha=90.00 beta=90.00 gamma=90.00
Closest atoms and distances in Å follow each position.
Space group Cmc2_1 (No. 36)
Unique sites:
1 Sr 0.0000 0.0277 0.0000 [4 per cell]  5 Cu 3.12-3.37, 6 Sn 3.37-3.45
2 Sr 0.0000 0.3290 0.0262 [4 per cell]  8 Sn 3.34-3.71, 2 Cu 3.45
3 Cu 0.0000 0.1109 0.2650 [4 per cell]  6 Sn 2.73-2.95
4 Cu 0.0000 0.2775 0.5075 [4 per cell]  6 Sn 2.71-2.89
5 Cu 0.0000 0.4579 0.2018 [4 per cell]  4 Sn 2.68-2.90
6 Sn 0.0000 0.0881 0.6178 [4 per cell]  3 Cu 2.68-2.75
7 Sn 0.0000 0.2049 0.2159 [4 per cell]  4 Cu 2.73-3.04
8 Sn 0.0000 0.2153 0.8082 [4 per cell]  3 Cu 2.71-2.89
9 Sn 0.0000 0.3766 0.5162 [4 per cell]  3 Cu 2.86-2.95, 1 Sn 3.16
10 Sn 0.0000 0.4475 0.8344 [4 per cell]  4 Cu 2.79-2.90

Summary:
D(E_F)   9.97 states/eV per cell



Energies relative to the most stable structure are (1) 0.0; (2) 6.2, reported in kJ/mol of atoms.